1.
A plane-wave DFT calculation with PBE was carried out for an optimized crystal structure of ScTl2Br5.

a b c (Å): 5.4571 17.3619 14.4951
angles (deg): 90.00 90.00 90.00
Space group Cmcm (No. 63)
Asymmetric unit:
Sc 0.0000 0.1522 0.2500 [4 per cell]
Tl 0.0000 0.1436 0.5656 [8 per cell]
Br 0.0000 0.0468 0.1229 [8 per cell]
Br 0.0000 0.2620 0.1165 [8 per cell]
Br 0.0000 0.3338 0.7500 [4 per cell]

Output
- Crystal system: orthorhombic
- VASP energy: -117.80 eV/cell
- E_form (uncorrected): -10.02 eV/f.u.



2.
A plane-wave DFT calculation with PBE was carried out for an optimized crystal structure of Sc2TlBr.

a b c (Å): 5.8254 5.8254 14.6920
angles (deg): 90.00 90.00 90.00
Space group I-42d (No. 122)
Asymmetric unit:
Sc 0.2410 0.2500 0.1250 [8 per cell]
Tl 0.0000 0.0000 0.5000 [4 per cell]
Br 0.0000 0.0000 0.0000 [4 per cell]

Output
- Crystal system: tetragonal
- VASP energy: -68.25 eV/cell
- E_form (uncorrected): -0.36 eV/f.u.



3.
A plane-wave DFT calculation with PBE was carried out for an optimized crystal structure of Sc2TlBr.

a b c (Å): 3.3890 4.8842 11.7083
angles (deg): 90.00 90.00 90.00
Space group Imm2 (No. 44)
Asymmetric unit:
Sc 0.0000 0.0000 0.0000 [2 per cell]
Sc 0.0000 0.5000 0.2662 [2 per cell]
Tl 0.0000 0.5000 0.8091 [2 per cell]
Br 0.0000 0.0000 0.5750 [2 per cell]

Output
- Crystal system: orthorhombic
- VASP energy: -36.91 eV/cell
- E_form (uncorrected): -1.75 eV/f.u.



4.
A plane-wave DFT calculation with PBE was carried out for an optimized crystal structure of ScTl3Br.

a b c (Å): 5.8887 5.8887 5.8887
angles (deg): 90.00 90.00 90.00
Space group Pm-3m (No. 221)
Asymmetric unit:
Sc 0.0000 0.0000 0.0000 [1 per cell]
Tl 0.0000 0.5000 0.5000 [3 per cell]
Br 0.5000 0.5000 0.5000 [1 per cell]

Output
- Crystal system: cubic
- VASP energy: -13.11 eV/cell
- E_form (uncorrected): 1.99 eV/f.u.



5.
A plane-wave DFT calculation with PBE was carried out for an optimized crystal structure of Sc2TlBr.

a b c (Å): 3.8134 6.0495 8.4499
angles (deg): 90.00 90.00 90.00
Space group Immm (No. 71)
Asymmetric unit:
Sc 0.0000 0.0000 0.2241 [4 per cell]
Tl 0.0000 0.5000 0.0000 [2 per cell]
Br 0.0000 0.5000 0.5000 [2 per cell]

Output
- Crystal system: orthorhombic
- VASP energy: -36.37 eV/cell
- E_form (uncorrected): -1.48 eV/f.u.



6.
A plane-wave DFT calculation with PBE was carried out for an optimized crystal structure of Sc2Tl2Br7.

a b c (Å): 12.0169 8.2857 7.2470
angles (deg): 90.00 97.28 90.00
Space group C2/m (No. 12)
Asymmetric unit:
Sc 0.2372 0.0000 0.0412 [4 per cell]
Tl 0.0000 0.2217 0.5000 [4 per cell]
Br 0.0000 0.0000 0.0000 [2 per cell]
Br 0.0575 0.5000 0.7834 [4 per cell]
Br 0.2222 0.2842 0.2340 [8 per cell]

Output
- Crystal system: monoclinic
- VASP energy: -86.15 eV/cell
- E_form (uncorrected): -13.97 eV/f.u.



7.
A plane-wave DFT calculation with PBE was carried out for an optimized crystal structure of ScTl4Br6.

a b c (Å): 8.7395 8.7395 10.1474
angles (deg): 90.00 90.00 90.00
Space group P4/mnc (No. 128)
Asymmetric unit:
Sc 0.0000 0.0000 0.0000 [2 per cell]
Tl 0.1514 0.3486 0.2500 [8 per cell]
Br 0.0000 0.0000 0.2684 [4 per cell]
Br 0.1304 0.7168 0.0000 [8 per cell]

Output
- Crystal system: tetragonal
- VASP energy: -74.34 eV/cell
- E_form (uncorrected): -11.34 eV/f.u.



8.
A plane-wave DFT calculation with PBE was carried out for an optimized crystal structure of Sc2TlBr.

a b c (Å): 4.1772 4.1772 11.0025
angles (deg): 90.00 90.00 90.00
Space group I-4m2 (No. 119)
Asymmetric unit:
Sc 0.0000 0.0000 0.0000 [2 per cell]
Sc 0.0000 0.5000 0.2500 [2 per cell]
Tl 0.0000 0.5000 0.7500 [2 per cell]
Br 0.0000 0.0000 0.5000 [2 per cell]

Output
- Crystal system: tetragonal
- VASP energy: -35.31 eV/cell
- E_form (uncorrected): -0.95 eV/f.u.



9.
A plane-wave DFT calculation with PBE was carried out for an optimized crystal structure of Sc2TlBr.

a b c (Å): 3.3953 3.3953 31.0283
angles (deg): 90.00 90.00 120.00
Space group R-3m (No. 166, hexagonal axes)
Asymmetric unit:
Sc 0.0000 0.0000 0.0964 [6 per cell]
Tl 0.0000 0.0000 0.0000 [3 per cell]
Br 0.0000 0.0000 0.5000 [3 per cell]

Output
- Crystal system: trigonal
- VASP energy: -53.06 eV/cell
- E_form (uncorrected): -0.98 eV/f.u.



10.
A plane-wave DFT calculation with PBE was carried out for an optimized crystal structure of ScTlBr.

a b c (Å): 3.5492 3.5497 7.8242
angles (deg): 89.03 89.68 60.00
Space group P1 (No. 1)
Asymmetric unit:
Sc 0.0000 0.0000 0.0000 [1 per cell]
Tl 0.6642 0.6803 0.6981 [1 per cell]
Br 0.3353 0.3238 0.2300 [1 per cell]

Output
- Crystal system: triclinic
- VASP energy: -12.37 eV/cell
- E_form (uncorrected): -2.00 eV/f.u.



11.
A plane-wave DFT calculation with PBE was carried out for an optimized crystal structure of TmSc2Br.

a b c (Å): 3.4787 3.4787 28.7072
angles (deg): 90.00 90.00 120.00
Space group R-3m (No. 166, hexagonal axes)
Asymmetric unit:
Tm 0.0000 0.0000 0.0000 [3 per cell]
Sc 0.0000 0.0000 0.2422 [6 per cell]
Br 0.0000 0.0000 0.5000 [3 per cell]

Output
- Crystal system: trigonal
- VASP energy: -61.66 eV/cell
- E_form (uncorrected): -1.74 eV/f.u.



12.
A plane-wave DFT calculation with PBE was carried out for an optimized crystal structure of Tm2ScBr.

a b c (Å): 3.3897 3.3897 33.3927
angles (deg): 90.00 90.00 120.00
Space group R-3m (No. 166, hexagonal axes)
Asymmetric unit:
Tm 0.0000 0.0000 0.0956 [6 per cell]
Sc 0.0000 0.0000 0.0000 [3 per cell]
Br 0.0000 0.0000 0.5000 [3 per cell]

Output
- Crystal system: trigonal
- VASP energy: -52.51 eV/cell
- E_form (uncorrected): -0.56 eV/f.u.



13.
A plane-wave DFT calculation with PBE was carried out for an optimized crystal structure of TmScBr6.

a b c (Å): 6.8815 6.8815 18.5644
angles (deg): 90.00 90.00 120.00
Space group R-3 (No. 148, hexagonal axes)
Asymmetric unit:
Tm 0.0000 0.0000 0.0000 [3 per cell]
Sc 0.0000 0.0000 0.5000 [3 per cell]
Br 0.0082 0.6562 0.2484 [18 per cell]

Output
- Crystal system: trigonal
- VASP energy: -103.53 eV/cell
- E_form (uncorrected): -13.67 eV/f.u.